Computed, not measured: a relaxed structure of Ba3Tl6AgSn2 at the PBE level of DFT.

uncorrected energy = -2.69 eV per atom
E_form = -0.12 eV/atom

Structure (extended XYZ):
```
12
Lattice="-3.873 3.000 5.218 -2.773 -5.315 -3.910 3.433 -6.352 6.200" Properties=species:S:1:pos:R:3 pbc="T T T"
Ba -0.830 -6.816 3.303
Ba -2.383 -1.850 4.204
Ba 0.000 0.000 0.000
Tl -3.650 -4.437 2.069
Tl -0.636 -3.387 1.476
Tl -1.894 -5.798 -0.298
Tl -2.577 -5.279 6.032
Tl 0.437 -4.229 5.439
Tl -1.319 -2.869 7.805
Ag 1.716 -3.176 3.100
Sn -0.225 -5.843 8.101
Sn -2.988 -2.824 -0.594
```

Computed, not measured: a relaxed structure of BaTl2AgSn at the PBE level of DFT.

uncorrected energy = -1.79 eV per atom
E_form = 0.91 eV/atom

Structure (extended XYZ):
```
5
Lattice="-1.350 -3.701 5.163 -4.453 -2.916 -3.254 4.344 -4.389 -2.010" Properties=species:S:1:pos:R:3 pbc="T T T"
Tl 2.172 -2.195 -1.005
Tl -0.675 -1.850 2.582
Ba 0.000 0.000 0.000
Ag -0.730 -5.503 -0.051
Sn -2.226 -1.458 -1.627
```

Computed, not measured: a relaxed structure of Ba2TlAg4Sn3 at the PBE level of DFT.

uncorrected energy = -3.30 eV per atom
E_form = -0.34 eV/atom

Structure (extended XYZ):
```
10
Lattice="-3.866 1.153 -2.813 1.177 -3.628 -3.105 -6.561 -7.290 6.031" Properties=species:S:1:pos:R:3 pbc="T T T"
Ba -3.516 -1.183 0.049
Ba -4.389 -7.345 3.023
Tl -4.625 -4.883 0.057
Ag -1.345 -1.238 -2.959
Ag 0.000 0.000 0.000
Ag -6.109 -4.064 2.432
Ag -1.796 -4.464 0.640
Sn -3.280 -3.645 3.015
Sn -7.686 -5.815 3.882
Sn -0.220 -2.712 -0.810
```

Computed, not measured: a relaxed structure of BaAgSnW2 at the PBE level of DFT.

uncorrected energy = -3.95 eV per atom
polymorph energy (0 for the lowest one) = 4.77 eV/f.u.
E_form = 2.98 eV/atom

Structure (extended XYZ):
```
5
Lattice="-2.502 -1.790 4.208 4.181 -3.488 1.002 2.327 3.631 2.928" Properties=species:S:1:pos:R:3 pbc="T T T"
Ag 2.090 -1.744 0.501
Ba 0.000 0.000 0.000
W 1.163 1.815 1.464
W -1.251 -0.895 2.104
Sn 2.003 -0.824 4.069
```

Computed, not measured: a relaxed structure of BaAgSnW2 at the PBE level of DFT.

uncorrected energy = -4.91 eV per atom
polymorph energy (0 for the lowest one) = 0.00 eV/f.u.
E_form = 2.03 eV/atom

Structure (extended XYZ):
```
5
Lattice="4.998 0.000 0.000 0.000 5.811 0.000 0.000 0.000 4.998" Properties=species:S:1:pos:R:3 pbc="T T T"
Ag 0.000 0.000 0.000
Ba 0.000 2.905 0.000
W 0.000 0.000 2.499
W 2.499 0.000 0.000
Sn 2.499 2.905 2.499
```

Computed, not measured: a relaxed structure of Ba2Zn3AgSn4 at the PBE level of DFT.

uncorrected energy = -3.06 eV per atom
E_form = -0.41 eV/atom

Structure (extended XYZ):
```
10
Lattice="-0.180 0.542 -4.795 -4.586 -1.511 0.001 -3.542 10.754 1.349" Properties=species:S:1:pos:R:3 pbc="T T T"
Ba -0.998 3.028 -2.052
Ba -4.927 7.241 1.004
Zn -1.771 5.377 0.674
Zn -3.155 9.578 -1.230
Zn -2.769 0.691 0.182
Ag -4.154 4.893 -1.722
Sn -2.383 -0.484 -2.397
Sn 0.000 0.000 0.000
Sn -2.316 7.032 -1.549
Sn -3.608 3.238 0.501
```

Computed, not measured: a relaxed structure of BaZnAgSn2 at the PBE level of DFT.

uncorrected energy = -3.21 eV per atom
E_form = -0.40 eV/atom

Structure (extended XYZ):
```
5
Lattice="-2.763 -3.727 -1.313 3.003 -3.022 2.258 -3.230 3.951 4.435" Properties=species:S:1:pos:R:3 pbc="T T T"
Ba 0.000 0.000 0.000
Zn -0.054 -1.222 3.583
Ag -2.937 -1.575 1.797
Sn -0.661 -3.229 1.704
Sn -2.330 0.432 3.676
```

Computed, not measured: a relaxed structure of Ba2ZnAg3Sn4 at the PBE level of DFT.

uncorrected energy = -3.36 eV per atom
E_form = -0.39 eV/atom

Structure (extended XYZ):
```
10
Lattice="4.806 0.000 0.000 0.000 4.806 0.000 0.000 0.000 11.779" Properties=species:S:1:pos:R:3 pbc="T T T"
Ba 2.403 0.000 3.036
Ba 0.000 2.403 8.743
Zn 2.403 2.403 5.890
Ag 0.000 0.000 5.890
Ag 2.403 0.000 10.166
Ag 0.000 2.403 1.613
Sn 2.403 2.403 0.000
Sn 0.000 0.000 0.000
Sn 2.403 0.000 7.373
Sn 0.000 2.403 4.406
```

Number 1: size of the total moment 0.00 μB/f.u.. Number 2: size of the total moment 0.00 μB/f.u.. Number 3: size of the total moment 0.00 μB/f.u.. Number 4: size of the total moment 3.48 μB/f.u.. Number 5: size of the total moment 1.21 μB/f.u.. Number 6: size of the total moment 0.00 μB/f.u.. Number 7: size of the total moment 0.00 μB/f.u.. Number 8: size of the total moment 0.00 μB/f.u..